Computed, not measured: a geometry-optimized Pa2NbMoN5 structure at the PBE level of DFT.

V: 448 Å³/cell
Total moment: 0.00 μB/f.u.

Cell lengths 3.4136, 13.0895, 10.0235 Å; angles 90.00, 90.00, 90.00 degrees
Space group Cmc2_1 (No. 36)
Unique sites:
Pa 0.0000 0.1122 0.0000 x4
Pa 0.0000 0.1444 0.6161 x4
Nb 0.0000 0.4586 0.7862 x4
Mo 0.0000 0.2055 0.3199 x4
N 0.0000 0.0526 0.3971 x4
N 0.0000 0.2821 0.9773 x4
N 0.0000 0.3114 0.6815 x4
N 0.0000 0.3718 0.3249 x4
N 0.0000 0.4894 0.0957 x4

Computed, not measured: a geometry-optimized NbMoPb2N structure at the PBE level of DFT.

V: 139 Å³/cell
Total moment: 1.03 μB/f.u.

Cell lengths 5.4130, 5.4130, 4.7593 Å; angles 90.00, 90.00, 90.00 degrees
Space group P4/mmm (No. 123)
Unique sites:
Nb 0.0000 0.0000 0.0000 x1
Mo 0.0000 0.0000 0.5000 x1
Pb 0.0000 0.5000 0.5000 x2
N 0.5000 0.5000 0.0000 x1

Uncorrected formation energy values, unit meV/atom, following the record order: -1209; 1751.